No. 1
The following is a PBE-GGA calculation of MnIn2Sn2 after structural relaxation, from the Alexandria database.

Results
Symmetry   P4/mbm, No. 127
Relative energy among the computed polymorphs   394 meV per atom
Total energy   -39.166 eV for the cell shown

Cell: 7.072 7.072 4.906 Å, 90.00 90.00 90.00°
Atoms (fractional coordinates):
Mn (0.000, 0.000, 0.000)
Mn (0.500, 0.500, 0.000)
In (0.157, 0.343, 0.000)
In (0.343, 0.843, 0.000)
In (0.657, 0.157, 0.000)
In (0.843, 0.657, 0.000)
Sn (0.163, 0.663, 0.500)
Sn (0.337, 0.163, 0.500)
Sn (0.663, 0.837, 0.500)
Sn (0.837, 0.337, 0.500)

No. 2
The following is a PBE-GGA calculation of CeY2PuAs4 after structural relaxation, from the Alexandria database.

Results
Symmetry   P2/m, No. 10
Total energy   -62.938 eV for the cell shown

Cell: 7.189 4.158 7.192 Å, 90.00 109.56 90.00°
Atoms (fractional coordinates):
Ce (0.000, 0.000, 0.000)
Y (0.500, 0.000, 0.500)
Y (0.500, 0.500, 0.000)
Pu (0.000, 0.500, 0.500)
As (0.250, 0.000, 0.748)
As (0.252, 0.500, 0.252)
As (0.748, 0.500, 0.748)
As (0.750, 0.000, 0.252)

No. 3
The following is a PBE-GGA calculation of YCdIn after structural relaxation, from the Alexandria database.

Results
Symmetry   Pmma, No. 51
Total energy   -22.645 eV for the cell shown

Cell: 4.996 3.534 8.549 Å, 90.00 90.00 90.00°
Atoms (fractional coordinates):
Y (0.250, 0.000, 0.245)
Y (0.750, 0.000, 0.755)
Cd (0.250, 0.500, 0.576)
Cd (0.750, 0.500, 0.424)
In (0.250, 0.500, 0.910)
In (0.750, 0.500, 0.090)

No. 4
The following is a PBE-GGA calculation of Hf4In2Ga after structural relaxation, from the Alexandria database.

Results
Symmetry   I4/mmm, No. 139
Total energy   -91.263 eV for the cell shown

Cell: 4.832 4.832 15.050 Å, 90.00 90.00 90.00°
Atoms (fractional coordinates):
Hf (0.000, 0.000, 0.171)
Hf (0.000, 0.000, 0.829)
Hf (0.000, 0.500, 0.000)
Hf (0.000, 0.500, 0.500)
Hf (0.500, 0.000, 0.000)
Hf (0.500, 0.000, 0.500)
Hf (0.500, 0.500, 0.329)
Hf (0.500, 0.500, 0.671)
In (0.000, 0.000, 0.366)
In (0.000, 0.000, 0.634)
In (0.500, 0.500, 0.134)
In (0.500, 0.500, 0.866)
Ga (0.000, 0.000, 0.000)
Ga (0.500, 0.500, 0.500)

No. 5
The following is a PBE-GGA calculation of Cs2LiTeAs after structural relaxation, from the Alexandria database.

Results
Symmetry   P4/mmm, No. 123
Total energy   -11.624 eV for the cell shown
Formation energy without anion corrections   -0.04 eV/atom

Cell: 7.206 7.206 5.329 Å, 90.00 90.00 90.00°
Atoms (fractional coordinates):
Cs (0.000, 0.500, 0.000)
Cs (0.500, 0.000, 0.000)
Li (0.000, 0.000, 0.500)
Te (0.500, 0.500, 0.500)
As (0.500, 0.500, 0.000)

No. 6
The following is a PBE-GGA calculation of Na3LaTc after structural relaxation, from the Alexandria database.

Results
Symmetry   I-4m2, No. 119
Relative energy among the computed polymorphs   644 meV per atom
Total energy   -31.720 eV for the cell shown

Cell: 11.952 11.952 11.952 Å, 153.39 153.39 37.99°
Atoms (fractional coordinates):
Na (0.200, 0.200, 0.000)
Na (0.371, 0.127, 0.756)
Na (0.371, 0.615, 0.244)
Na (0.385, 0.629, 0.756)
Na (0.800, 0.800, 0.000)
Na (0.873, 0.629, 0.244)
La (0.523, 0.023, 0.500)
La (0.977, 0.477, 0.500)
Tc (0.250, 0.750, 0.500)
Tc (0.500, 0.500, 0.000)